A plane-wave DFT calculation with PBE-GGA was carried out for a relaxed structure of Nb3Se12I.

Lattice parameters (Å, degrees): 9.593 9.593 19.316 90.00 90.00 90.00
Fractional positions:
Nb: 0.000 0.500 0.080
Nb: 0.000 0.500 0.250
Nb: 0.000 0.500 0.420
Nb: 0.000 0.500 0.580
Nb: 0.000 0.500 0.750
Nb: 0.000 0.500 0.920
Nb: 0.500 0.000 0.080
Nb: 0.500 0.000 0.250
Nb: 0.500 0.000 0.420
Nb: 0.500 0.000 0.580
Nb: 0.500 0.000 0.750
Nb: 0.500 0.000 0.920
Se: 0.018 0.276 0.000
Se: 0.048 0.715 0.172
Se: 0.048 0.715 0.828
Se: 0.107 0.699 0.500
Se: 0.126 0.314 0.339
Se: 0.126 0.314 0.661
Se: 0.186 0.374 0.161
Se: 0.186 0.374 0.839
Se: 0.199 0.607 0.000
Se: 0.215 0.548 0.328
Se: 0.215 0.548 0.672
Se: 0.224 0.482 0.500
Se: 0.276 0.982 0.000
Se: 0.285 0.048 0.172
Se: 0.285 0.048 0.828
Se: 0.301 0.107 0.500
Se: 0.314 0.874 0.339
Se: 0.314 0.874 0.661
Se: 0.374 0.814 0.161
Se: 0.374 0.814 0.839
Se: 0.393 0.199 0.000
Se: 0.452 0.215 0.328
Se: 0.452 0.215 0.672
Se: 0.482 0.776 0.500
Se: 0.518 0.224 0.500
Se: 0.548 0.785 0.328
Se: 0.548 0.785 0.672
Se: 0.607 0.801 0.000
Se: 0.626 0.186 0.161
Se: 0.626 0.186 0.839
Se: 0.686 0.126 0.339
Se: 0.686 0.126 0.661
Se: 0.699 0.893 0.500
Se: 0.715 0.952 0.172
Se: 0.715 0.952 0.828
Se: 0.724 0.018 0.000
Se: 0.776 0.518 0.500
Se: 0.785 0.452 0.328
Se: 0.785 0.452 0.672
Se: 0.801 0.393 0.000
Se: 0.814 0.626 0.161
Se: 0.814 0.626 0.839
Se: 0.874 0.686 0.339
Se: 0.874 0.686 0.661
Se: 0.893 0.301 0.500
Se: 0.952 0.285 0.172
Se: 0.952 0.285 0.828
Se: 0.982 0.724 0.000
I: 0.000 0.000 0.370
I: 0.000 0.000 0.630
I: 0.500 0.500 0.130
I: 0.500 0.500 0.870

Results
Magnetic moment: 0.00 μB per cell
V: 1777.5 Å³/cell
Total DFT energy (no corrections): -5.167 eV/atom
SG: No. 128